A relaxed structure of Au2S3. Source: the Open Quantum Materials Database, functional PBE-GGA.

- volume (Å³ per cell) = 857.2
- VASP energy (eV per cell) = -147.62

Cell lengths 11.7609, 14.4570, 5.0417 Å; angles 90.00, 90.00, 90.00 degrees
Last column: nearest neighbours and their distance in Å.
Space group Fdd2 (No. 43)
Asymmetric unit:
Au1 0.1159 0.2044 0.0000 (multiplicity 16)  4 S 2.37-2.44
S1 0.0000 0.0000 0.0750 (multiplicity 8)  2 Au 2.37
S2 0.0022 0.3345 0.1174 (multiplicity 16)  3 Au 2.38-2.44